PBE-GGA CeMgNi2As2, optimized geometry; magnetization = 0.21 μB/f.u.; calculated formation energy = -0.78 eV per atom
1.0
4.118 0.000 0.000
-2.059 3.566 0.000
0.000 0.000 6.897
Ni As Ce Mg
2 2 1 1
Cartesian
0.000 2.377 4.711
2.059 1.189 2.186
0.000 2.377 1.817
2.059 1.189 5.080
0.000 0.000 0.000
0.000 0.000 3.448

=====

PBE-GGA Tb2PmErSe5, optimized geometry; raw formation energy = -1.172 eV/atom; magnetization = 0.01 μB/f.u.
1.0
-1.369 4.913 -0.135
-1.734 -0.351 4.785
9.835 2.844 3.772
Tb Se Er Pm
2 5 1 1
Cartesian
4.920 4.152 4.807
1.812 3.254 3.615
2.469 0.714 0.947
7.366 2.130 2.825
4.051 1.247 4.279
-1.551 2.281 2.325
4.233 3.879 1.819
4.918 1.422 1.886
0.000 0.000 0.000

=====

PBE-GGA Cr2InAu, optimized geometry; magnetization = 0.00 μB/f.u.; calculated formation energy = 0.99 eV per atom
1.0
-5.246 4.897 0.902
-4.892 -5.313 0.393
-4.729 -0.327 3.271
In Cr Au
2 4 2
Cartesian
-7.345 -2.924 2.156
-5.069 -0.208 0.648
-4.837 -2.844 1.166
-7.294 -0.342 2.935
-5.130 2.369 1.441
-12.471 -0.668 3.591
0.000 0.000 0.000
-7.522 2.181 2.411

=====

PBE-GGA Nd2Er3S8, optimized geometry; raw formation energy = -1.897 eV/atom; magnetization = 0.00 μB/f.u.
1.0
6.715 0.000 0.165
0.000 7.990 0.000
-2.524 -3.995 6.441
Er S Nd
3 8 2
Cartesian
0.000 5.898 0.000
3.357 0.000 0.083
0.000 2.093 0.000
2.039 2.148 4.994
2.039 -2.148 4.994
5.645 3.995 1.699
-1.440 3.995 5.008
2.152 1.847 1.613
5.631 0.000 1.599
-1.453 0.000 4.908
2.152 6.143 1.613
0.956 0.000 3.472
3.235 3.995 3.134

=====

Table of calculated total energy (eV per atom), in record order: -5.509 -5.172 -5.324 -6.224